Entry 1:
The following is a DFT calculation (GGA-PBE) of a relaxed structure of La2Y5Th.

## Properties
Electronic total energy = -96.748 eV/cell
Total magnetization = 0.0 Bohr magnetons per cell
Formation energy = 153 meV/atom

a = 5.823 Å, b = 5.721 Å, c = 19.141 Å
α = 90.00°, β = 90.00°, γ = 120.59°
Fractional positions:
La 0.844 0.687 0.342
La 0.844 0.687 0.158
La 0.156 0.313 0.658
La 0.156 0.313 0.842
Y 0.828 0.656 0.961
Y 0.828 0.656 0.539
Y 0.488 0.976 0.579
Y 0.488 0.976 0.921
Y 0.180 0.360 0.250
Y 0.820 0.640 0.750
Y 0.512 0.024 0.421
Y 0.512 0.024 0.079
Y 0.172 0.344 0.039
Y 0.172 0.344 0.461
Th 0.480 0.961 0.750
Th 0.520 0.039 0.250

***

Entry 2:
The following is a DFT calculation (GGA-PBE) of a relaxed structure of La7Y16Th6.

## Properties
Electronic total energy = -172.249 eV/cell
Total magnetization = 3.4 Bohr magnetons per cell
Formation energy = 351 meV/atom

a = 11.208 Å, b = 11.208 Å, c = 11.208 Å
α = 60.00°, β = 60.00°, γ = 60.00°
Fractional positions:
La 0.000 0.000 0.000
La 0.500 0.000 0.500
La 0.000 0.500 0.000
La 0.000 0.500 0.500
La 0.500 0.000 0.000
La 0.000 0.000 0.500
La 0.500 0.500 0.000
Y 0.879 0.879 0.364
Y 0.879 0.879 0.879
Y 0.879 0.364 0.879
Y 0.364 0.879 0.879
Y 0.121 0.121 0.121
Y 0.121 0.121 0.636
Y 0.121 0.636 0.121
Y 0.636 0.121 0.121
Y 0.659 0.659 0.022
Y 0.659 0.659 0.659
Y 0.659 0.022 0.659
Y 0.022 0.659 0.659
Y 0.341 0.341 0.341
Y 0.341 0.341 0.978
Y 0.341 0.978 0.341
Y 0.978 0.341 0.341
Th 0.329 0.671 0.329
Th 0.671 0.329 0.671
Th 0.671 0.329 0.329
Th 0.329 0.671 0.671
Th 0.671 0.671 0.329
Th 0.329 0.329 0.671

***

Entry 3:
The following is a DFT calculation (GGA-PBE) of a relaxed structure of LaY6Th2.

## Properties
Excess energy over the best structure of this formula in the dataset = 0 meV/atom
Electronic total energy = -57.842 eV/cell
Total magnetization = 0.0 Bohr magnetons per cell
Formation energy = 79 meV/atom

a = 3.599 Å, b = 3.599 Å, c = 26.651 Å
α = 90.00°, β = 90.00°, γ = 120.00°
Fractional positions:
La 0.333 0.667 0.000
Y 0.667 0.333 0.886
Y 0.333 0.667 0.438
Y 0.333 0.667 0.779
Y 0.333 0.667 0.221
Y 0.333 0.667 0.562
Y 0.667 0.333 0.114
Th 0.667 0.333 0.332
Th 0.667 0.333 0.668

***

Entry 4:
The following is a DFT calculation (GGA-PBE) of a relaxed structure of La4Y5Th2.

## Properties
Electronic total energy = -66.409 eV/cell
Total magnetization = 0.0 Bohr magnetons per cell
Formation energy = 42 meV/atom

a = 5.177 Å, b = 8.108 Å, c = 9.555 Å
α = 76.03°, β = 105.72°, γ = 90.00°
Fractional positions:
La 0.319 0.906 0.639
La 0.955 0.719 0.910
La 0.681 0.094 0.361
La 0.045 0.281 0.090
Y 0.774 0.626 0.549
Y 0.226 0.374 0.451
Y 0.863 0.191 0.727
Y 0.500 0.000 0.000
Y 0.137 0.809 0.273
Th 0.410 0.451 0.821
Th 0.590 0.549 0.179

***

Entry 5:
The following is a DFT calculation (GGA-PBE) of a relaxed structure of La8YTh2.

## Properties
Electronic total energy = -59.181 eV/cell
Total magnetization = 0.0 Bohr magnetons per cell
Formation energy = 140 meV/atom

a = 5.809 Å, b = 8.366 Å, c = 9.614 Å
α = 115.78°, β = 107.58°, γ = 90.00°
Fractional positions:
La 0.639 0.842 0.279
La 0.360 0.564 0.721
La 0.160 0.160 0.320
La 0.000 0.297 0.000
La 0.840 0.840 0.680
La 0.640 0.436 0.279
La 0.361 0.158 0.721
La 0.000 0.703 0.000
Y 0.500 0.000 0.000
Th 0.200 0.701 0.400
Th 0.800 0.299 0.600

***

Entry 6:
The following is a DFT calculation (GGA-PBE) of a relaxed structure of La6Y5Th.

## Properties
Electronic total energy = -68.933 eV/cell
Total magnetization = 0.0 Bohr magnetons per cell
Formation energy = 31 meV/atom

a = 5.214 Å, b = 10.245 Å, c = 9.674 Å
α = 121.97°, β = 105.58°, γ = 90.01°
Fractional positions:
Y 0.662 0.162 0.324
Y 0.332 0.332 0.664
Y 0.000 0.500 0.000
Y 0.668 0.668 0.336
Y 0.338 0.838 0.676
Th 0.000 0.000 0.000
La 0.836 0.586 0.673
La 0.836 0.087 0.673
La 0.500 0.752 0.000
La 0.500 0.248 0.000
La 0.164 0.913 0.327
La 0.164 0.414 0.327

***

Entry 7:
The following is a DFT calculation (GGA-PBE) of a relaxed structure of La4Y15Th.

## Properties
Electronic total energy = -123.440 eV/cell
Total magnetization = 0.0 Bohr magnetons per cell
Formation energy = 33 meV/atom

a = 5.125 Å, b = 5.125 Å, c = 25.405 Å
α = 90.00°, β = 90.00°, γ = 90.00°
Fractional positions:
La 0.000 0.000 0.199
La 0.000 0.000 0.399
La 0.000 0.000 0.601
La 0.000 0.000 0.801
Y 0.500 0.500 0.000
Y 0.500 0.500 0.198
Y 0.500 0.500 0.399
Y 0.500 0.500 0.601
Y 0.500 0.500 0.802
Y 0.500 0.000 0.096
Y 0.500 0.000 0.298
Y 0.500 0.000 0.500
Y 0.500 0.000 0.702
Y 0.500 0.000 0.904
Y 0.000 0.500 0.096
Y 0.000 0.500 0.298
Y 0.000 0.500 0.500
Y 0.000 0.500 0.702
Y 0.000 0.500 0.904
Th 0.000 0.000 0.000

***

Entry 8:
The following is a DFT calculation (GGA-PBE) of a relaxed structure of La2Y7Th4.

## Properties
Electronic total energy = -81.717 eV/cell
Total magnetization = 0.0 Bohr magnetons per cell
Formation energy = 236 meV/atom

a = 6.131 Å, b = 6.131 Å, c = 13.469 Å
α = 90.00°, β = 90.00°, γ = 120.00°
Fractional positions:
La 0.667 0.333 0.000
La 0.333 0.667 0.000
Y 0.000 0.362 0.781
Y 0.000 0.638 0.219
Y 0.000 0.000 0.000
Y 0.362 0.000 0.781
Y 0.638 0.000 0.219
Y 0.362 0.362 0.219
Y 0.638 0.638 0.781
Th 0.000 0.000 0.608
Th 0.000 0.000 0.392
Th 0.667 0.333 0.500
Th 0.333 0.667 0.500

***

Entry 9:
The following is a DFT calculation (GGA-PBE) of a relaxed structure of La5YTh.

## Properties
Electronic total energy = -32.182 eV/cell
Total magnetization = 0.0 Bohr magnetons per cell
Formation energy = 906 meV/atom

a = 5.958 Å, b = 8.204 Å, c = 8.204 Å
α = 66.96°, β = 68.65°, γ = 68.65°
Fractional positions:
La 0.748 0.252 0.252
La 0.000 0.319 0.681
La 0.500 0.000 0.000
La 0.000 0.681 0.319
La 0.252 0.748 0.748
Y 0.000 0.000 0.000
Th 0.500 0.500 0.500